(1)
VASP calculation (PBE) on a geometry-optimized Pm2Dy5Er2 structure.

Calculated values
Energy above the lowest structure with this stoichiometry (meV/atom): 109
Calculated formation energy (meV per atom): 219
Space-group type: Ima2

```
Pm2Dy5Er2
1.0
-7.4375 5.8711 3.3602
7.4375 -5.8711 3.3602
7.4375 5.8711 -3.3602
Pm Dy Er
4 10 4
direct
0.0016 0.1269 0.1285
0.0016 0.3731 0.3747
0.9984 0.6269 0.6253
0.9984 0.8731 0.8715
0.0910 0.4700 0.9074
0.0910 0.6836 0.1210
0.0973 0.1001 0.4972
0.4024 0.2019 0.3051
0.4024 0.5972 0.7005
0.5626 0.1836 0.0926
0.5626 0.9700 0.8790
0.6028 0.6001 0.5028
0.8968 0.0972 0.6949
0.8968 0.7019 0.2995
0.4590 0.4590 0.0000
0.4590 0.9590 0.5000
0.5376 0.7993 0.2383
0.5610 0.2993 0.7617
```

---

(2)
VASP calculation (PBE) on a geometry-optimized Pu4Cd2H structure.

Calculated values
Space-group type: I4/mmm
Total energy (eV per atom): -8.814

```
Pu4Cd2H
1.0
-2.3448 2.3448 8.1315
2.3448 -2.3448 8.1315
2.3448 2.3448 -8.1315
Pu Cd H
4 2 1
direct
0.0000 0.5000 0.5000
0.1648 0.1648 0.0000
0.5000 0.0000 0.5000
0.8352 0.8352 0.0000
0.3607 0.3607 0.0000
0.6393 0.6393 0.0000
0.0000 0.0000 0.0000
```

---

(3)
VASP calculation (PBE) on a geometry-optimized RuSI2O structure.

Calculated values
Energy above the lowest structure with this stoichiometry (meV/atom): 0
Space-group type: P4/mmm
Formation energy without anion corrections (eV per atom): 0.24

```
RuSI2O
1.0
5.4904 0.0000 0.0000
0.0000 5.4904 0.0000
0.0000 0.0000 3.7228
Ru S I O
1 1 2 1
direct
0.0000 0.0000 0.0000
0.5000 0.5000 0.5000
0.0000 0.5000 0.0000
0.5000 0.0000 0.0000
0.0000 0.0000 0.5000
```

---

(4)
VASP calculation (PBE) on a geometry-optimized ZrNbCdSe2 structure.

Calculated values
Space-group type: P4/mmm
Formation energy without anion corrections (eV per atom): 0.35

```
ZrNbCdSe2
1.0
4.9379 0.0000 0.0000
0.0000 4.9379 0.0000
0.0000 0.0000 5.3362
Zr Nb Cd Se
1 1 1 2
direct
0.0000 0.0000 0.0000
0.5000 0.5000 0.5000
0.5000 0.5000 0.0000
0.0000 0.5000 0.5000
0.5000 0.0000 0.5000
```

---

(5)
VASP calculation (PBE) on a geometry-optimized Mn2MoRh structure.

Calculated values
Calculated formation energy (meV per atom): 621
Space-group type: Immm

```
Mn2MoRh
1.0
-1.3415 2.3080 4.8667
1.3415 -2.3080 4.8667
1.3415 2.3080 -4.8667
Mn Mo Rh
2 1 1
direct
0.2489 0.2489 0.0000
0.7511 0.7511 0.0000
0.0000 0.0000 0.0000
0.5000 0.5000 0.0000
```

---

(6)
VASP calculation (PBE) on a geometry-optimized ReHgP2Cl structure.

Calculated values
Energy above the lowest structure with this stoichiometry (meV/atom): 1534
Space-group type: P4/mmm
Formation energy without anion corrections (eV per atom): 1.87

```
ReHgP2Cl
1.0
4.9835 0.0000 0.0000
0.0000 4.9835 0.0000
0.0000 0.0000 5.0920
Re Hg P Cl
1 1 2 1
direct
0.0000 0.0000 0.0000
0.5000 0.5000 0.5000
0.0000 0.5000 0.5000
0.5000 0.0000 0.5000
0.5000 0.5000 0.0000
```

---

no.,density (g/cm3),DOS(E_F) (states/eV/f.u.),spin magnetization (μB/atom)
1,8.13,14.5,0.000
2,11.16,31.6,3.640
3,5.96,5.4,0.102
4,5.80,5.3,0.304
5,8.51,4.8,1.325
6,6.36,3.0,0.700